Compound: RbTcMo2O8
Source: Alexandria
Functional: PBE with a Hubbard U
Structure: relaxed

The structure in extended XYZ format:
```
12
Lattice="-0.707 -1.435 5.451 4.415 -2.335 2.707 2.607 7.236 2.494" Properties=species:S:1:pos:R:3 pbc="T T T"
O 3.219 -2.392 6.793
O 3.628 0.499 6.608
O 2.688 2.967 4.044
O 1.141 -0.639 5.607
Tc 0.000 0.000 0.000
O 5.174 4.105 5.044
Rb 1.304 3.618 1.247
O 2.517 4.571 6.467
Mo 3.365 4.373 4.848
O 3.096 5.858 3.858
Mo 2.950 -0.907 5.804
O 3.798 -1.106 4.184
```

Output
* space-group type: C2/m, No. 12
* total DFT energy (no corrections): -7.02 eV/atom
* calculated volume: 231 Å³/cell